# 1
Entry from the Alexandria database: a geometry-optimized VIr2SeN structure (PBE).

Geometry as extended XYZ:
```
5
Lattice="4.675 0.000 0.000 0.000 3.704 0.000 0.000 0.000 4.675" Properties=species:S:1:pos:R:3 pbc="T T T"
Ir 0.000 0.000 2.337
Se 0.000 0.000 0.000
V 2.337 1.852 2.337
Ir 2.337 0.000 0.000
N 0.000 1.852 0.000
```

Summary:
Symmetry: P4/mmm
Energy relative to the elements, uncorrected in eV per atom: 1.715
Total energy in eV per cell: -30.07
M_tot in μB/cell: 0.0

---

# 2
Entry from the Alexandria database: a geometry-optimized VIrSe2N structure (PBE).

Geometry as extended XYZ:
```
5
Lattice="4.891 0.000 0.000 0.000 4.891 0.000 0.000 0.000 3.519" Properties=species:S:1:pos:R:3 pbc="T T T"
Se 2.445 0.000 0.000
Se 0.000 2.445 0.000
V 0.000 0.000 0.000
Ir 2.445 2.445 1.760
N 0.000 0.000 1.760
```

Summary:
Symmetry: P4/mmm
Excess energy over the best structure of this formula in the dataset in meV/atom: 0
Energy relative to the elements, uncorrected in eV per atom: 0.560
Total energy in eV per cell: -30.47
M_tot in μB/cell: 0.0

---

# 3
Entry from the Alexandria database: a geometry-optimized IrWSe2N structure (PBE).

Geometry as extended XYZ:
```
5
Lattice="5.083 0.000 0.000 0.000 5.083 0.000 0.000 0.000 3.621" Properties=species:S:1:pos:R:3 pbc="T T T"
Se 0.000 2.541 0.000
Se 2.541 0.000 0.000
N 0.000 0.000 1.810
W 2.541 2.541 1.810
Ir 0.000 0.000 0.000
```

Summary:
Symmetry: P4/mmm
Excess energy over the best structure of this formula in the dataset in meV/atom: 154
Energy relative to the elements, uncorrected in eV per atom: 1.032
Total energy in eV per cell: -31.95
M_tot in μB/cell: 2.9

---

# 4
Entry from the Alexandria database: a geometry-optimized IrWSe2N structure (PBE).

Geometry as extended XYZ:
```
5
Lattice="4.997 0.000 0.000 0.000 4.997 0.000 0.000 0.000 3.731" Properties=species:S:1:pos:R:3 pbc="T T T"
Ir 2.499 2.499 1.865
W 0.000 0.000 0.000
Se 0.000 2.499 0.000
N 0.000 0.000 1.865
Se 2.499 0.000 0.000
```

Summary:
Symmetry: P4/mmm
Excess energy over the best structure of this formula in the dataset in meV/atom: 0
Energy relative to the elements, uncorrected in eV per atom: 0.878
Total energy in eV per cell: -32.72
M_tot in μB/cell: 0.0